No. 1
First-principles (meta-GGA SCAN) data for a crystal of CoBrN2 relaxed with PBEsol, as listed in Alexandria.

POSCAR file:
```
CoBrN2
1.0
1.485 0.858 5.835
-1.485 0.858 5.835
0.000 -1.715 5.835
Co Br N
1 1 2
direct
0.000 0.000 0.000
0.500 0.500 0.500
0.383 0.383 0.383
0.617 0.617 0.617
```

## Properties
Relative energy among the computed polymorphs   0.000 kcal/mol of atoms
Calculated total energy   -52.0 eV for the cell shown

---

No. 2
First-principles (meta-GGA SCAN) data for a crystal of SrLiSi2 relaxed with PBEsol, as listed in Alexandria.

POSCAR file:
```
SrLiSi2
1.0
-1.868 2.163 5.564
1.868 -2.163 5.564
1.868 2.163 -5.564
Sr Li Si
1 1 2
direct
0.000 0.000 0.000
0.256 0.756 0.500
0.626 0.626 0.000
0.757 0.257 0.500
```

## Properties
Relative energy among the computed polymorphs   0.076 kcal/mol of atoms
Calculated total energy   -45.9 eV for the cell shown

---

No. 3
First-principles (meta-GGA SCAN) data for a crystal of FeSbRh2 relaxed with PBEsol, as listed in Alexandria.

POSCAR file:
```
FeSbRh2
1.0
-1.990 1.990 3.638
1.990 -1.990 3.638
1.990 1.990 -3.638
Fe Sb Rh
1 1 2
direct
0.000 0.000 0.000
0.500 0.500 0.000
0.250 0.750 0.500
0.750 0.250 0.500
```

## Properties
Calculated total energy   -124.2 eV for the cell shown

---

No. 4
First-principles (meta-GGA SCAN) data for a crystal of Tb3Er relaxed with PBEsol, as listed in Alexandria.

POSCAR file:
```
Tb3Er
1.0
4.901 0.000 0.000
0.000 4.901 0.000
0.000 0.000 4.901
Tb Er
3 1
direct
0.000 0.000 0.500
0.000 0.500 0.000
0.500 0.000 0.000
0.500 0.500 0.500
```

## Properties
ΔH_f (0 K)   18 meV per atom
Calculated total energy   -190.6 eV for the cell shown

---

No. 5
First-principles (meta-GGA SCAN) data for a crystal of LiTeRu2 relaxed with PBEsol, as listed in Alexandria.

POSCAR file:
```
LiTeRu2
1.0
2.907 0.000 0.000
0.000 4.341 0.000
-0.027 0.000 4.860
Li Te Ru
1 1 2
direct
0.000 0.000 0.000
0.500 0.000 0.500
0.289 0.500 0.775
0.711 0.500 0.225
```

## Properties
Calculated total energy   -108.1 eV for the cell shown

---

No. 6
First-principles (meta-GGA SCAN) data for a crystal of KLa2Mn relaxed with PBEsol, as listed in Alexandria.

POSCAR file:
```
KLa2Mn
1.0
3.467 -1.998 0.000
3.467 1.998 0.000
-2.270 0.000 10.471
K La Mn
1 2 1
direct
0.000 0.000 0.000
0.215 0.215 0.647
0.785 0.785 0.353
0.500 0.500 0.500
```

## Properties
ΔH_f (0 K)   368 meV per atom
Calculated total energy   -111.3 eV for the cell shown

---

No. 7
First-principles (meta-GGA SCAN) data for a crystal of Mg2CrRh relaxed with PBEsol, as listed in Alexandria.

POSCAR file:
```
Mg2CrRh
1.0
4.025 0.000 0.000
0.000 4.025 0.000
0.000 0.000 3.943
Mg Cr Rh
2 1 1
direct
0.000 0.500 0.000
0.500 0.000 0.000
0.000 0.000 0.500
0.500 0.500 0.500
```

## Properties
ΔH_f (0 K)   -169 meV per atom
Calculated total energy   -62.8 eV for the cell shown

---

No. 8
First-principles (meta-GGA SCAN) data for a crystal of Li3Mn3OF7 relaxed with PBEsol, as listed in Alexandria.

POSCAR file:
```
Li3Mn3OF7
1.0
3.102 1.791 4.876
-3.102 1.791 4.876
0.000 -3.582 4.876
Li Mn O F
3 3 1 7
direct
0.000 0.000 0.000
0.258 0.258 0.258
0.635 0.635 0.635
0.124 0.644 0.644
0.644 0.124 0.644
0.644 0.644 0.124
0.871 0.871 0.871
0.392 0.392 0.392
0.392 0.392 0.868
0.392 0.868 0.392
0.394 0.872 0.872
0.868 0.392 0.392
0.872 0.394 0.872
0.872 0.872 0.394
```

## Properties
Calculated total energy   -132.0 eV for the cell shown

---

No. 9
First-principles (meta-GGA SCAN) data for a crystal of CdCoSeS2 relaxed with PBEsol, as listed in Alexandria.

POSCAR file:
```
CdCoSeS2
1.0
4.238 0.000 0.000
0.000 4.238 0.000
0.000 0.000 5.199
Cd Co Se S
1 1 1 2
direct
0.000 0.000 0.000
0.500 0.500 0.500
0.500 0.500 0.000
0.000 0.500 0.500
0.500 0.000 0.500
```

## Properties
Calculated total energy   -86.2 eV for the cell shown

---

No. 10
First-principles (meta-GGA SCAN) data for a crystal of Ca2YSnAu relaxed with PBEsol, as listed in Alexandria.

POSCAR file:
```
Ca2YSnAu
1.0
6.023 0.000 0.000
0.000 6.023 0.000
0.000 0.000 5.438
Ca Y Sn Au
2 1 1 1
direct
0.000 0.500 0.000
0.500 0.000 0.000
0.000 0.000 0.000
0.000 0.000 0.500
0.500 0.500 0.500
```

## Properties
ΔH_f (0 K)   820 meV per atom
Calculated total energy   -148.1 eV for the cell shown

---

No. 11
First-principles (meta-GGA SCAN) data for a crystal of BeIr2Se relaxed with PBEsol, as listed in Alexandria.

POSCAR file:
```
BeIr2Se
1.0
-1.798 1.798 4.211
1.798 -1.798 4.211
1.798 1.798 -4.211
Be Ir Se
1 2 1
direct
0.000 0.000 0.000
0.500 0.500 0.000
0.750 0.250 0.500
0.250 0.750 0.500
```

## Properties
Relative energy among the computed polymorphs   5.079 kcal/mol of atoms
Calculated total energy   -165.1 eV for the cell shown

---

No. 12
First-principles (meta-GGA SCAN) data for a crystal of TcP2HCl relaxed with PBEsol, as listed in Alexandria.

POSCAR file:
```
TcP2HCl
1.0
3.634 0.000 0.000
0.000 3.634 0.000
0.000 0.000 4.635
Tc P H Cl
1 2 1 1
direct
0.000 0.000 0.000
0.000 0.500 0.500
0.500 0.000 0.500
0.500 0.500 0.500
0.500 0.500 0.000
```

## Properties
Calculated total energy   -62.7 eV for the cell shown

---

Question: Among the records above, which one has the highest calculated total energy?
Answer: SrLiSi2